1.
Below is CoMoN2F after structural relaxation, with properties calculated at the PBE+U level.

a = 3.8152 Å, b = 3.8152 Å, c = 3.7071 Å
α = 90.00°, β = 90.00°, γ = 90.00°
Closest atoms and distances in Å follow each position.
Atoms (fractional coordinates):
Co  0.0000  0.0000  0.0000  2 F 1.85, 4 N 1.91
Mo  0.5000  0.5000  0.5000  8 N 2.66, 4 F 2.70
N  0.0000  0.5000  0.0000  2 Co 1.91
N  0.5000  0.0000  0.0000  2 Co 1.91
F  0.0000  0.0000  0.5000  2 Co 1.85

energy relative to the lowest polymorph listed for this composition	0.217	eV/atom
Fermi-level density of states	1.53	states/eV/cell
space-group type	P4/mmm, No. 123
crystal system	tetragonal
spin magnetization	4.0	μB/cell


2.
Below is CoMoNF2 after structural relaxation, with properties calculated at the PBE+U level.

a = 3.9891 Å, b = 3.9891 Å, c = 3.8714 Å
α = 90.00°, β = 90.00°, γ = 90.00°
Closest atoms and distances in Å follow each position.
Atoms (fractional coordinates):
Co  0.0000  0.0000  0.0000  2 N 1.94, 4 F 1.99
Mo  0.5000  0.5000  0.5000  8 F 2.78, 4 N 2.82
N  0.0000  0.0000  0.5000  2 Co 1.94
F  0.0000  0.5000  0.0000  2 Co 1.99
F  0.5000  0.0000  0.0000  2 Co 1.99

energy relative to the lowest polymorph listed for this composition	0.000	eV/atom
Fermi-level density of states	1.73	states/eV/cell
space-group type	P4/mmm, No. 123
crystal system	tetragonal
spin magnetization	7.4	μB/cell


> spin magnetization of number 2 (CoMoNF2)?

7.4 μB/cell